(1)
Computed, not measured: a relaxed SiB2 crystal at the GGA-PBE level of DFT.

Properties
Space group ... P-3m1, No. 164
Total magnetization ... 0.000 μB/cell
Volume ... 26 Å³ per cell
Raw formation energy ... 0.46 eV per atom

abc: 2.9053 2.9053 3.5047
angles: 90.00 90.00 120.00
Closest atoms and distances in Å follow each position.
Atoms (fractional coordinates):
Si  0.0000  0.0000  0.0000  6 B 2.24
B  0.3333  0.6667  0.5764  3 B 1.76
B  0.6667  0.3333  0.4236  3 B 1.76



(2)
Computed, not measured: a relaxed Ac2Nd3Ho6 crystal at the GGA-PBE level of DFT.

Properties
Space group ... C2/m, No. 12
ΔE_f ... 0.1867 eV per atom
Total magnetization ... 0.000 μB/cell
Volume ... 401 Å³ per cell

abc: 6.2602 6.2602 11.9915
angles: 94.97 94.97 120.04
Closest atoms and distances in Å follow each position.
Atoms (fractional coordinates):
Ac  0.1669  0.8331  0.0000  3 Ac 3.61-3.62, 6 Ho 3.68-3.69
Ac  0.8331  0.1669  0.0000  3 Ac 3.61-3.62, 6 Ho 3.68-3.69
Nd  0.0000  0.0000  0.5000  6 Ho 3.55, 6 Nd 3.60-3.64
Nd  0.3355  0.6645  0.5000  6 Ho 3.53-3.56, 6 Nd 3.57-3.64
Nd  0.6645  0.3355  0.5000  6 Ho 3.53-3.56, 6 Nd 3.57-3.64
Ho  0.0814  0.4139  0.7429  3 Nd 3.55-3.56, 6 Ho 3.60-3.62, 2 Ac 3.68-3.69
Ho  0.2539  0.2539  0.2571  3 Nd 3.53-3.55, 6 Ho 3.60-3.62, 2 Ac 3.69
Ho  0.4139  0.0814  0.7429  3 Nd 3.55-3.56, 6 Ho 3.60-3.62, 2 Ac 3.68-3.69
Ho  0.5861  0.9186  0.2571  3 Nd 3.55-3.56, 6 Ho 3.60-3.62, 2 Ac 3.68-3.69
Ho  0.7461  0.7461  0.7429  3 Nd 3.53-3.55, 6 Ho 3.60-3.62, 2 Ac 3.69
Ho  0.9186  0.5861  0.2571  3 Nd 3.55-3.56, 6 Ho 3.60-3.62, 2 Ac 3.68-3.69



(3)
Computed, not measured: a relaxed NaBe2Ni crystal at the GGA-PBE level of DFT.

Properties
Space group ... I4_1/amd, No. 141
ΔE_f ... 0.4789 eV per atom
Total magnetization ... 0.000 μB/cell
Volume ... 135 Å³ per cell

abc: 7.8533 7.8533 7.8533
angles: 148.12 148.12 45.71
Closest atoms and distances in Å follow each position.
Atoms (fractional coordinates):
Na  0.3750  0.6250  0.7500  8 Be 3.01, 4 Ni 3.05
Na  0.6250  0.3750  0.2500  8 Be 3.01, 4 Ni 3.05
Be  0.0000  0.0000  0.0000  2 Ni 2.11, 2 Be 2.16
Be  0.0000  0.0000  0.5000  2 Ni 2.11, 2 Be 2.16
Be  0.0000  0.5000  0.0000  2 Ni 2.11, 2 Be 2.16
Be  0.5000  0.0000  0.5000  2 Ni 2.11, 2 Be 2.16
Ni  0.1250  0.8750  0.2500  4 Be 2.11
Ni  0.8750  0.1250  0.7500  4 Be 2.11



(4)
Computed, not measured: a relaxed Tb3Er5N8 crystal at the GGA-PBE level of DFT.

Properties
Space group ... R-3m, No. 166
Total magnetization ... 0.000 μB/cell
Volume ... 233 Å³ per cell
Raw formation energy ... -1.73 eV per atom

abc: 6.9094 6.9094 6.9094
angles: 60.01 60.01 60.01
Closest atoms and distances in Å follow each position.
Atoms (fractional coordinates):
Tb  0.0000  0.5000  0.5000  6 N 2.46
Tb  0.5000  0.0000  0.5000  6 N 2.46
Tb  0.5000  0.5000  0.0000  6 N 2.46
Er  0.0000  0.0000  0.0000  6 N 2.44
Er  0.0000  0.0000  0.5000  6 N 2.43
Er  0.0000  0.5000  0.0000  6 N 2.43
Er  0.5000  0.0000  0.0000  6 N 2.43
Er  0.5000  0.5000  0.5000  6 N 2.44
N  0.2472  0.7500  0.7500  4 Er 2.43-2.44, 2 Tb 2.46
N  0.2486  0.2486  0.2486  3 Er 2.43, 3 Tb 2.46
N  0.2500  0.2500  0.7528  4 Er 2.43-2.44, 2 Tb 2.46
N  0.2500  0.7528  0.2500  4 Er 2.43-2.44, 2 Tb 2.46
N  0.7500  0.2472  0.7500  4 Er 2.43-2.44, 2 Tb 2.46
N  0.7500  0.7500  0.2472  4 Er 2.43-2.44, 2 Tb 2.46
N  0.7514  0.7514  0.7514  3 Er 2.43, 3 Tb 2.46
N  0.7528  0.2500  0.2500  4 Er 2.43-2.44, 2 Tb 2.46



(5)
Computed, not measured: a relaxed ZrOsSe crystal at the GGA-PBE level of DFT.

Properties
Space group ... P4/nmm, No. 129
Total magnetization ... 0.000 μB/cell
Volume ... 115 Å³ per cell
Raw formation energy ... -0.61 eV per atom

abc: 3.6236 3.6236 8.7686
angles: 90.00 90.00 90.00
Closest atoms and distances in Å follow each position.
Atoms (fractional coordinates):
Zr  0.2500  0.2500  0.2370  4 Se 2.77, 4 Os 2.93
Zr  0.7500  0.7500  0.7630  4 Se 2.77, 4 Os 2.93
Os  0.2500  0.7500  0.5000  4 Os 2.56
Os  0.7500  0.2500  0.5000  4 Os 2.56
Se  0.2500  0.2500  0.8826  4 Zr 2.77
Se  0.7500  0.7500  0.1174  4 Zr 2.77



(6)
Computed, not measured: a relaxed TbNpBeN3 crystal at the GGA-PBE level of DFT.

Properties
Space group ... P2_1/m, No. 11
Total magnetization ... 5.689 μB/cell
Volume ... 156 Å³ per cell
Raw formation energy ... -1.20 eV per atom

abc: 6.8197 3.2708 7.0776
angles: 90.00 98.72 90.00
Closest atoms and distances in Å follow each position.
Atoms (fractional coordinates):
Tb  0.2065  0.2500  0.1655  7 N 2.42-2.60
Tb  0.7935  0.7500  0.8345  7 N 2.42-2.60
Np  0.1870  0.2500  0.6547  6 N 2.22-2.37
Np  0.8130  0.7500  0.3453  6 N 2.22-2.37
Be  0.4070  0.7500  0.9239  4 N 1.70-1.88
Be  0.5930  0.2500  0.0761  4 N 1.70-1.88
N  0.1418  0.7500  0.4096  3 Np 2.22-2.37, 2 Tb 2.47
N  0.1526  0.7500  0.8826  1 Be 1.72
N  0.4976  0.2500  0.8397  3 Be 1.70-1.88
N  0.5024  0.7500  0.1603  3 Be 1.70-1.88
N  0.8474  0.2500  0.1174  1 Be 1.72
N  0.8582  0.2500  0.5904  3 Np 2.22-2.37, 2 Tb 2.47



(7)
Computed, not measured: a relaxed Na2In2Ru crystal at the GGA-PBE level of DFT.

Properties
Space group ... P4/mbm, No. 127
ΔE_f ... 0.2571 eV per atom
Total magnetization ... 0.000 μB/cell
Volume ... 263 Å³ per cell

abc: 7.0164 7.0164 5.3510
angles: 90.00 90.00 90.00
Closest atoms and distances in Å follow each position.
Atoms (fractional coordinates):
Na  0.1770  0.3230  0.0000  2 In 3.10
Na  0.3230  0.8230  0.0000  2 In 3.10
Na  0.6770  0.1770  0.0000  2 In 3.10
Na  0.8230  0.6770  0.0000  2 In 3.10
In  0.1654  0.6654  0.5000  2 Ru 2.62
In  0.3346  0.1654  0.5000  2 Ru 2.62
In  0.6654  0.8346  0.5000  2 Ru 2.62
In  0.8346  0.3346  0.5000  2 Ru 2.62
Ru  0.0000  0.0000  0.5000  4 In 2.62
Ru  0.5000  0.5000  0.5000  4 In 2.62